(1)
VASP calculation (PBE-GGA) on ZnSn2O4 after structural relaxation.

Computed properties:
Formation energy (no corrections): -1.0867 eV per atom
Energy above the lowest structure with this stoichiometry: 297 meV per atom
N(E_F): 8.0 states/eV per cell
Total magnetic moment: 0.0 μB/f.u.

Lattice parameters (Å, degrees): 3.226 10.709 10.969 90.00 90.00 90.00
Space group Cmcm (No. 63)
Asymmetric unit:
Zn: 0.000 0.101 0.250 (multiplicity 4)
Sn: 0.000 0.368 0.076 (multiplicity 8)
O: 0.000 0.000 0.000 (multiplicity 4)
O: 0.000 0.270 0.614 (multiplicity 8)
O: 0.000 0.483 0.250 (multiplicity 4)

(2)
VASP calculation (PBE-GGA) on ZnSn2O4 after structural relaxation.

Computed properties:
Formation energy (no corrections): -1.2419 eV per atom
Energy above the lowest structure with this stoichiometry: 142 meV per atom
N(E_F): 3.2 states/eV per cell
Total magnetic moment: 0.0 μB/f.u.

Lattice parameters (Å, degrees): 6.5022 6.5022 18.6193 90.00 90.00 120.00
Space group R-3m (No. 166, hexagonal axes)
Asymmetric unit:
Zn: 0.0000 0.0000 0.0839 (multiplicity 6)
Sn: 0.0000 0.0000 0.5000 (multiplicity 3)
Sn: 0.0000 0.5000 0.0000 (multiplicity 9)
O: 0.0000 0.0000 0.2774 (multiplicity 6)
O: 0.0147 0.5074 0.2691 (multiplicity 18)

(3)
VASP calculation (PBE-GGA) on Zn2SnO4 after structural relaxation.

Computed properties:
Formation energy (no corrections): -1.5156 eV per atom
Energy above the lowest structure with this stoichiometry: 0 meV per atom
Total magnetic moment: 0.0 μB/f.u.

Lattice parameters (Å, degrees): 6.226 6.226 8.763 90.00 90.00 90.00
Space group P4_122 (No. 91)
Asymmetric unit:
Zn: 0.000 0.226 0.000 (multiplicity 4)
Zn: 0.253 0.253 0.375 (multiplicity 4)
Sn: 0.234 0.500 0.750 (multiplicity 4)
O: 0.011 0.256 0.756 (multiplicity 8)
O: 0.257 0.478 0.990 (multiplicity 8)

(4)
VASP calculation (PBE-GGA) on ZnSn2O4 after structural relaxation.

Computed properties:
Formation energy (no corrections): -1.2645 eV per atom
Energy above the lowest structure with this stoichiometry: 119 meV per atom
N(E_F): 1.7 states/eV per cell
Total magnetic moment: 0.0 μB/f.u.

Lattice parameters (Å, degrees): 6.6529 6.6529 15.8462 90.00 90.00 120.00
Space group R3m (No. 160, hexagonal axes)
Asymmetric unit:
Zn: 0.0000 0.0000 0.0000 (multiplicity 3)
Zn: 0.0000 0.0000 0.3797 (multiplicity 3)
Sn: 0.0000 0.0000 0.7608 (multiplicity 3)
Sn: 0.0024 0.5012 0.8797 (multiplicity 9)
O: 0.0000 0.0000 0.1351 (multiplicity 3)
O: 0.0000 0.0000 0.6132 (multiplicity 3)
O: 0.0550 0.5275 0.1376 (multiplicity 9)
O: 0.1782 0.3563 0.9565 (multiplicity 9)

(5)
VASP calculation (PBE-GGA) on ZnSn2O4 after structural relaxation.

Computed properties:
Formation energy (no corrections): -1.3836 eV per atom
Energy above the lowest structure with this stoichiometry: 0 meV per atom
Total magnetic moment: 0.0 μB/f.u.

Lattice parameters (Å, degrees): 3.301 10.169 12.737 90.00 103.85 90.00
Space group Pc (No. 7)
Asymmetric unit:
Zn: 0.000 0.116 0.000 (multiplicity 2)
Zn: 0.946 0.348 0.451 (multiplicity 2)
Sn: 0.321 0.064 0.313 (multiplicity 2)
Sn: 0.386 0.408 0.884 (multiplicity 2)
Sn: 0.680 0.216 0.657 (multiplicity 2)
Sn: 0.692 0.325 0.177 (multiplicity 2)
O: 0.179 0.170 0.165 (multiplicity 2)
O: 0.262 0.291 0.746 (multiplicity 2)
O: 0.464 0.021 0.962 (multiplicity 2)
O: 0.489 0.436 0.497 (multiplicity 2)
O: 0.774 0.047 0.761 (multiplicity 2)
O: 0.824 0.483 0.317 (multiplicity 2)
O: 0.850 0.199 0.346 (multiplicity 2)
O: 0.949 0.306 0.952 (multiplicity 2)

(6)
VASP calculation (PBE-GGA) on Zn2SnO4 after structural relaxation.

Computed properties:
Formation energy (no corrections): -1.5067 eV per atom
Energy above the lowest structure with this stoichiometry: 9 meV per atom
Total magnetic moment: 0.0 μB/f.u.

Lattice parameters (Å, degrees): 6.096 6.326 8.813 90.00 90.00 90.00
Space group Imma (No. 74)
Asymmetric unit:
Zn: 0.000 0.250 0.142 (multiplicity 4)
Zn: 0.250 0.250 0.750 (multiplicity 4)
Sn: 0.000 0.000 0.500 (multiplicity 4)
O: 0.000 0.017 0.734 (multiplicity 8)
O: 0.233 0.250 0.501 (multiplicity 8)

| no. | E (eV per atom) |
| --- | --- |
| 1 | -5.25 |
| 2 | -5.40 |
| 3 | -5.28 |
| 4 | -5.42 |
| 5 | -5.54 |
| 6 | -5.28 |